[1]
Entry from Alexandria via LeMat-Bulk: HgBi3H2Pd9 after structural relaxation (PBE-GGA).

a b c (Å): 5.739 5.739 9.325
angles (deg): 90.00 90.00 120.00
Fractional positions:
Hg: 0.000 0.000 0.000
Bi: 0.000 0.000 0.500
Bi: 0.333 0.667 0.194
Bi: 0.667 0.333 0.806
H: 0.333 0.667 0.663
H: 0.667 0.333 0.337
Pd: 0.000 0.500 0.500
Pd: 0.167 0.334 0.759
Pd: 0.167 0.833 0.759
Pd: 0.334 0.167 0.241
Pd: 0.500 0.000 0.500
Pd: 0.500 0.500 0.500
Pd: 0.666 0.833 0.759
Pd: 0.833 0.167 0.241
Pd: 0.833 0.666 0.241

For the total energy, the calculation gives -4.5050 eV/atom.

[2]
Entry from Alexandria via LeMat-Bulk: BaTl2Cu2Cl7 after structural relaxation (PBE-GGA).

a b c (Å): 4.914 4.914 13.324
angles (deg): 100.57 100.57 90.00
Fractional positions:
Ba: 0.000 0.000 0.000
Tl: 0.184 0.184 0.369
Tl: 0.816 0.816 0.631
Cu: 0.402 0.402 0.802
Cu: 0.598 0.598 0.198
Cl: 0.089 0.589 0.179
Cl: 0.309 0.309 0.614
Cl: 0.411 0.911 0.821
Cl: 0.500 0.500 0.000
Cl: 0.589 0.089 0.179
Cl: 0.691 0.691 0.386
Cl: 0.911 0.411 0.821

As for the uncorrected formation energy: -13.94 eV/f.u. For the total energy, the calculation gives -3.4765 eV/atom.

[3]
Entry from Alexandria via LeMat-Bulk: CuHgHPt2 after structural relaxation (PBE-GGA).

a b c (Å): 4.045 4.045 4.105
angles (deg): 90.00 90.00 90.00
Fractional positions:
Cu: 0.000 0.000 0.000
Hg: 0.500 0.500 0.000
H: 0.000 0.000 0.500
Pt: 0.000 0.500 0.500
Pt: 0.500 0.000 0.500

For the total energy, the calculation gives -3.9785 eV/atom.

[4]
Entry from Alexandria via LeMat-Bulk: K2RbZn2Au2 after structural relaxation (PBE-GGA).

a b c (Å): 14.188 14.188 14.188
angles (deg): 18.40 18.40 18.40
Fractional positions:
K: 0.119 0.119 0.119
K: 0.881 0.881 0.881
Rb: 0.000 0.000 0.000
Zn: 0.269 0.269 0.269
Zn: 0.731 0.731 0.731
Au: 0.398 0.398 0.398
Au: 0.602 0.602 0.602

For the total energy, the calculation gives -1.9509 eV/atom.

[5]
Entry from Alexandria via LeMat-Bulk: SmHf2Sc3N6 after structural relaxation (PBE-GGA).

a b c (Å): 7.286 7.286 6.549
angles (deg): 102.38 102.38 25.88
Fractional positions:
Sm: 0.000 0.000 0.000
Hf: 0.332 0.332 0.664
Hf: 0.668 0.668 0.336
Sc: 0.000 0.000 0.500
Sc: 0.332 0.332 0.167
Sc: 0.668 0.668 0.833
N: 0.170 0.170 0.580
N: 0.174 0.174 0.098
N: 0.494 0.494 0.727
N: 0.506 0.506 0.273
N: 0.826 0.826 0.902
N: 0.830 0.830 0.420

As for the uncorrected formation energy: -21.55 eV/f.u. For the total energy, the calculation gives -9.5938 eV/atom.

[6]
Entry from Alexandria via LeMat-Bulk: La8Rh3Br4Cl after structural relaxation (PBE-GGA).

a b c (Å): 9.161 9.161 9.161
angles (deg): 54.63 54.63 54.63
Fractional positions:
La: 0.223 0.743 0.743
La: 0.232 0.232 0.232
La: 0.257 0.257 0.777
La: 0.257 0.777 0.257
La: 0.743 0.223 0.743
La: 0.743 0.743 0.223
La: 0.768 0.768 0.768
La: 0.777 0.257 0.257
Rh: 0.000 0.000 0.500
Rh: 0.000 0.500 0.000
Rh: 0.500 0.000 0.000
Br: 0.000 0.000 0.000
Br: 0.000 0.500 0.500
Br: 0.500 0.000 0.500
Br: 0.500 0.500 0.000
Cl: 0.500 0.500 0.500

As for the uncorrected formation energy: -19.30 eV/f.u. For the total energy, the calculation gives -5.5820 eV/atom.

[7]
Entry from Alexandria via LeMat-Bulk: SmBiAu2 after structural relaxation (PBE-GGA).

a b c (Å): 3.688 3.688 7.227
angles (deg): 90.00 90.00 90.00
Fractional positions:
Sm: 0.000 0.000 0.000
Bi: 0.000 0.000 0.500
Au: 0.500 0.500 0.234
Au: 0.500 0.500 0.766

As for the excess energy over the best structure of this formula in the dataset: 58 meV per atom. For the total energy, the calculation gives -4.3301 eV/atom.

[8]
Entry from Alexandria via LeMat-Bulk: TmZrAl after structural relaxation (PBE-GGA).

a b c (Å): 7.496 7.496 4.396
angles (deg): 90.00 90.00 120.00
Fractional positions:
Tm: 0.000 0.583 0.000
Tm: 0.417 0.417 0.000
Tm: 0.583 0.000 0.000
Zr: 0.000 0.241 0.500
Zr: 0.241 0.000 0.500
Zr: 0.759 0.759 0.500
Al: 0.000 0.000 0.000
Al: 0.333 0.667 0.500
Al: 0.667 0.333 0.500

As for the excess energy over the best structure of this formula in the dataset: 40 meV per atom. For the total energy, the calculation gives -5.8057 eV/atom.

[9]
Entry from Alexandria via LeMat-Bulk: K4Sm3AlS8 after structural relaxation (PBE-GGA).

a b c (Å): 8.729 8.729 8.729
angles (deg): 55.08 55.08 55.08
Fractional positions:
K: 0.000 0.000 0.000
K: 0.000 0.500 0.500
K: 0.500 0.000 0.500
K: 0.500 0.500 0.000
Sm: 0.000 0.000 0.500
Sm: 0.000 0.500 0.000
Sm: 0.500 0.000 0.000
Al: 0.500 0.500 0.500
S: 0.236 0.236 0.236
S: 0.259 0.718 0.718
S: 0.282 0.282 0.741
S: 0.282 0.741 0.282
S: 0.718 0.259 0.718
S: 0.718 0.718 0.259
S: 0.741 0.282 0.282
S: 0.764 0.764 0.764

As for the uncorrected formation energy: -26.08 eV/f.u. For the total energy, the calculation gives -5.0867 eV/atom.

[10]
Entry from Alexandria via LeMat-Bulk: Th2GaCoPd after structural relaxation (PBE-GGA).

a b c (Å): 7.131 4.206 7.672
angles (deg): 90.00 111.95 90.00
Fractional positions:
Th: 0.032 0.250 0.217
Th: 0.361 0.750 0.615
Th: 0.639 0.250 0.385
Th: 0.968 0.750 0.783
Ga: 0.346 0.250 0.943
Ga: 0.654 0.750 0.057
Co: 0.105 0.250 0.610
Co: 0.895 0.750 0.390
Pd: 0.322 0.750 0.166
Pd: 0.678 0.250 0.834

For the total energy, the calculation gives -6.6292 eV/atom.

[11]
Entry from Alexandria via LeMat-Bulk: CdTeW2 after structural relaxation (PBE-GGA).

a b c (Å): 9.414 9.414 9.414
angles (deg): 20.01 20.01 20.01
Fractional positions:
Cd: 0.000 0.000 0.000
Te: 0.227 0.227 0.227
W: 0.482 0.482 0.482
W: 0.753 0.753 0.753

As for the uncorrected formation energy: 1.73 eV/f.u. As for the excess energy over the best structure of this formula in the dataset: 0 meV per atom. For the total energy, the calculation gives -7.0583 eV/atom.

[12]
Entry from Alexandria via LeMat-Bulk: LiDy2Cd6 after structural relaxation (PBE-GGA).

a b c (Å): 8.621 8.621 3.310
angles (deg): 90.00 90.00 120.00
Fractional positions:
Li: 0.000 0.000 0.000
Dy: 0.333 0.667 0.000
Dy: 0.667 0.333 0.000
Cd: 0.000 0.329 0.500
Cd: 0.000 0.671 0.500
Cd: 0.329 0.000 0.500
Cd: 0.329 0.329 0.500
Cd: 0.671 0.000 0.500
Cd: 0.671 0.671 0.500

As for the excess energy over the best structure of this formula in the dataset: 0 meV per atom. For the total energy, the calculation gives -2.1013 eV/atom.

[13]
Entry from Alexandria via LeMat-Bulk: Tc2NiAg after structural relaxation (PBE-GGA).

a b c (Å): 2.618 2.618 8.359
angles (deg): 90.00 90.00 90.00
Fractional positions:
Tc: 0.000 0.000 0.224
Tc: 0.000 0.000 0.776
Ni: 0.500 0.500 0.000
Ag: 0.500 0.500 0.500

As for the excess energy over the best structure of this formula in the dataset: 117 meV per atom. For the total energy, the calculation gives -7.0383 eV/atom.

[14]
Entry from Alexandria via LeMat-Bulk: Nd2TiSn3Pt4 after structural relaxation (PBE-GGA).

a b c (Å): 4.537 4.537 10.731
angles (deg): 90.00 90.00 90.00
Fractional positions:
Nd: 0.000 0.500 0.245
Nd: 0.500 0.000 0.755
Ti: 0.000 0.000 0.500
Sn: 0.000 0.500 0.868
Sn: 0.500 0.000 0.132
Sn: 0.500 0.500 0.500
Pt: 0.000 0.000 0.000
Pt: 0.000 0.500 0.627
Pt: 0.500 0.000 0.373
Pt: 0.500 0.500 0.000

For the total energy, the calculation gives -6.2087 eV/atom.

[15]
Entry from Alexandria via LeMat-Bulk: CaMg2CuRh after structural relaxation (PBE-GGA).

a b c (Å): 5.483 5.483 4.652
angles (deg): 90.00 90.00 90.00
Fractional positions:
Ca: 0.000 0.000 0.000
Mg: 0.000 0.500 0.000
Mg: 0.500 0.000 0.000
Cu: 0.000 0.000 0.500
Rh: 0.500 0.500 0.500

For the total energy, the calculation gives -1.8315 eV/atom.

[16]
Entry from Alexandria via LeMat-Bulk: Sc2CdP after structural relaxation (PBE-GGA).

a b c (Å): 5.318 5.318 5.318
angles (deg): 138.69 121.27 74.33
Fractional positions:
Sc: 0.212 0.212 0.000
Sc: 0.788 0.788 0.000
Cd: 0.500 0.000 0.500
P: 0.000 0.500 0.500

As for the excess energy over the best structure of this formula in the dataset: 280 meV per atom. For the total energy, the calculation gives -5.2917 eV/atom.

[17]
Entry from Alexandria via LeMat-Bulk: TaBi3O7 after structural relaxation (PBE-GGA).

a b c (Å): 3.956 3.956 12.956
angles (deg): 99.62 99.62 56.65
Fractional positions:
Ta: 0.000 0.000 0.000
Bi: 0.196 0.196 0.770
Bi: 0.443 0.443 0.507
Bi: 0.713 0.713 0.231
O: 0.121 0.121 0.517
O: 0.265 0.265 0.964
O: 0.375 0.375 0.318
O: 0.508 0.508 0.692
O: 0.611 0.611 0.039
O: 0.904 0.904 0.848
O: 0.984 0.984 0.153

As for the uncorrected formation energy: -17.96 eV/f.u. As for the excess energy over the best structure of this formula in the dataset: 160 meV per atom. For the total energy, the calculation gives -6.9235 eV/atom.

[18]
Entry from Alexandria via LeMat-Bulk: Na3AlTc after structural relaxation (PBE-GGA).

a b c (Å): 5.587 5.587 5.587
angles (deg): 90.00 90.00 90.00
Fractional positions:
Na: 0.000 0.000 0.500
Na: 0.000 0.500 0.000
Na: 0.500 0.000 0.000
Al: 0.000 0.000 0.000
Tc: 0.500 0.500 0.500

As for the excess energy over the best structure of this formula in the dataset: 0 meV per atom. For the total energy, the calculation gives -2.2416 eV/atom.

[19]
Entry from Alexandria via LeMat-Bulk: BeTcTe after structural relaxation (PBE-GGA).

a b c (Å): 3.151 3.151 5.929
angles (deg): 90.00 90.00 120.00
Fractional positions:
Be: 0.000 0.000 0.000
Tc: 0.667 0.333 0.276
Te: 0.333 0.667 0.605

As for the uncorrected formation energy: 1.30 eV/f.u. As for the excess energy over the best structure of this formula in the dataset: 232 meV per atom. For the total energy, the calculation gives -5.3109 eV/atom.

[20]
Entry from Alexandria via LeMat-Bulk: PrBiAs2 after structural relaxation (PBE-GGA).

a b c (Å): 8.750 8.750 8.750
angles (deg): 29.71 29.71 29.71
Fractional positions:
Pr: 0.000 0.000 0.000
Bi: 0.500 0.500 0.500
As: 0.393 0.393 0.393
As: 0.607 0.607 0.607

As for the excess energy over the best structure of this formula in the dataset: 425 meV per atom. For the total energy, the calculation gives -4.6298 eV/atom.

[21]
Entry from Alexandria via LeMat-Bulk: BeSi2Ru after structural relaxation (PBE-GGA).

a b c (Å): 3.664 3.664 3.575
angles (deg): 90.00 90.00 90.00
Fractional positions:
Be: 0.000 0.000 0.000
Si: 0.000 0.500 0.500
Si: 0.500 0.000 0.500
Ru: 0.500 0.500 0.000

As for the uncorrected formation energy: -0.16 eV/f.u. For the total energy, the calculation gives -6.0023 eV/atom.

[22]
Entry from Alexandria via LeMat-Bulk: Li2Ce2YSn2 after structural relaxation (PBE-GGA).

a b c (Å): 9.446 9.446 9.446
angles (deg): 28.34 28.34 28.34
Fractional positions:
Li: 0.092 0.092 0.092
Li: 0.908 0.908 0.908
Ce: 0.357 0.357 0.357
Ce: 0.643 0.643 0.643
Y: 0.500 0.500 0.500
Sn: 0.233 0.233 0.233
Sn: 0.767 0.767 0.767

For the total energy, the calculation gives -4.7415 eV/atom.

[23]
Entry from Alexandria via LeMat-Bulk: Al2AuBr after structural relaxation (PBE-GGA).

a b c (Å): 4.943 4.943 4.943
angles (deg): 60.00 60.00 60.00
Fractional positions:
Al: 0.250 0.250 0.250
Al: 0.750 0.750 0.750
Au: 0.000 0.000 0.000
Br: 0.500 0.500 0.500

As for the uncorrected formation energy: 0.55 eV/f.u. As for the excess energy over the best structure of this formula in the dataset: 493 meV per atom. For the total energy, the calculation gives -2.9709 eV/atom.

[24]
Entry from Alexandria via LeMat-Bulk: Y3Ag after structural relaxation (PBE-GGA).

a b c (Å): 3.659 4.939 6.528
angles (deg): 90.00 103.65 90.00
Fractional positions:
Y: 0.000 0.000 0.000
Y: 0.396 0.500 0.732
Y: 0.604 0.500 0.268
Ag: 0.000 0.000 0.500

As for the excess energy over the best structure of this formula in the dataset: 109 meV per atom. For the total energy, the calculation gives -5.5878 eV/atom.

[25]
Entry from Alexandria via LeMat-Bulk: TlSiN2 after structural relaxation (PBE-GGA).

a b c (Å): 4.146 4.146 4.146
angles (deg): 60.00 60.00 60.00
Fractional positions:
Tl: 0.000 0.000 0.000
Si: 0.500 0.500 0.500
N: 0.250 0.250 0.250
N: 0.750 0.750 0.750

As for the uncorrected formation energy: 7.03 eV/f.u. As for the excess energy over the best structure of this formula in the dataset: 1909 meV per atom. For the total energy, the calculation gives -4.3530 eV/atom.